# Ca2FeCl | Alexandria | PBE-GGA | optimized geometry
# Total moment in μB per formula unit: 1.9
# Relative energy among the computed polymorphs in meV per atom: 110.8
# Formation energy from raw total energies in kJ per mole of atoms: -35.6
data_Ca2FeCl
_chemical_formula_sum 'Ca2 Fe1 Cl1'
_cell_length_a 8.502
_cell_length_b 8.502
_cell_length_c 8.502
_cell_angle_alpha 156.78
_cell_angle_beta 155.41
_cell_angle_gamma 34.08
_symmetry_space_group_name_H-M 'P 1'
_symmetry_Int_Tables_number 1
loop_
_symmetry_equiv_pos_as_xyz
'x,y,z'
loop_
_atom_site_label
_atom_site_fract_x
_atom_site_fract_y
_atom_site_fract_z
Fe1 0.306 0.806 0.500
Ca1 0.941 0.941 0.000
Ca2 0.705 0.205 0.500
Cl1 0.549 0.549 0.000